# 1
A plane-wave DFT calculation with GGA-PBE was carried out for SrZrIr2 after structural relaxation.

Properties
Magnetic moment in Bohr magnetons per cell: 0.0
Formation energy in eV per atom: -0.19
Offset from the most stable computed form in eV/f.u.: 1.23

Unit cell a=4.9676 b=4.9676 c=3.2435 alpha=90.00 beta=90.00 gamma=90.00
With the nearest neighbours (Å) after each atom.
Space group P4/mmm (No. 123)
One atom of each set of equivalent atoms:
Sr 0.0000 0.0000 0.0000  8 Ir 2.97, 2 Sr 3.24
Zr 0.5000 0.5000 0.0000  8 Ir 2.97, 2 Zr 3.24
Ir 0.0000 0.5000 0.5000  4 Zr 2.97, 4 Sr 2.97, 2 Ir 3.24

***

# 2
A plane-wave DFT calculation with GGA-PBE was carried out for SrZr2Ir after structural relaxation.

Properties
Magnetic moment in Bohr magnetons per cell: 0.0
Formation energy in eV per atom: 0.16
Offset from the most stable computed form in eV/f.u.: 1.41

Unit cell a=6.9846 b=6.9846 c=6.9846 alpha=90.00 beta=90.00 gamma=90.00
With the nearest neighbours (Å) after each atom.
Space group Fm-3m (No. 225)
One atom of each set of equivalent atoms:
Sr 0.0000 0.0000 0.0000  8 Zr 3.02
Zr 0.2500 0.2500 0.2500  4 Ir 3.02, 4 Sr 3.02
Ir 0.0000 0.0000 0.5000  8 Zr 3.02

***

# 3
A plane-wave DFT calculation with GGA-PBE was carried out for SrZr2Ir after structural relaxation.

Properties
Magnetic moment in Bohr magnetons per cell: 0.0
Formation energy in eV per atom: 0.25
Offset from the most stable computed form in eV/f.u.: 1.79

Unit cell a=4.9301 b=3.6152 c=5.0107 alpha=90.00 beta=90.17 gamma=90.00
With the nearest neighbours (Å) after each atom.
Space group P2/m (No. 10)
One atom of each set of equivalent atoms:
Sr 0.0000 0.0000 0.0000  4 Ir 3.06, 4 Zr 3.09
Zr 0.0000 0.5000 0.5000  4 Zr 3.06, 4 Sr 3.09
Zr 0.5000 0.0000 0.5000  4 Zr 3.06, 4 Ir 3.09
Ir 0.5000 0.5000 0.0000  4 Sr 3.06, 4 Zr 3.09

***

# 4
A plane-wave DFT calculation with GGA-PBE was carried out for SrZrIr after structural relaxation.

Properties
Magnetic moment in Bohr magnetons per cell: 0.0
Formation energy in eV per atom: -0.53
Offset from the most stable computed form in eV/f.u.: 0.00

Unit cell a=4.6593 b=4.6593 c=7.4761 alpha=90.00 beta=90.00 gamma=90.00
With the nearest neighbours (Å) after each atom.
Space group P4/nmm (No. 129, origin choice 2)
One atom of each set of equivalent atoms:
Sr 0.2500 0.2500 0.1382  5 Ir 3.41-3.56, 4 Zr 3.57
Zr 0.2500 0.7500 0.5000  4 Ir 2.70
Ir 0.2500 0.2500 0.6818  4 Zr 2.70

***

# 5
A plane-wave DFT calculation with GGA-PBE was carried out for SrZrIr after structural relaxation.

Properties
Magnetic moment in Bohr magnetons per cell: 0.0
Formation energy in eV per atom: -0.16
Offset from the most stable computed form in eV/f.u.: 1.13

Unit cell a=4.0206 b=4.0206 c=6.5667 alpha=90.00 beta=90.00 gamma=120.00
With the nearest neighbours (Å) after each atom.
Space group P3m1 (No. 156)
One atom of each set of equivalent atoms:
Sr 0.0000 0.0000 0.0000  3 Ir 3.06
Zr 0.3333 0.6667 0.5205  3 Ir 2.59
Ir 0.6667 0.3333 0.6956  3 Zr 2.59

***

# 6
A plane-wave DFT calculation with GGA-PBE was carried out for SrZrIr4 after structural relaxation.

Properties
Magnetic moment in Bohr magnetons per cell: 0.0
Formation energy in eV per atom: -0.40

Unit cell a=7.5758 b=7.5758 c=7.5758 alpha=90.00 beta=90.00 gamma=90.00
With the nearest neighbours (Å) after each atom.
Space group F-43m (No. 216)
One atom of each set of equivalent atoms:
Sr 0.0000 0.0000 0.0000  12 Ir 3.14, 4 Zr 3.28
Zr 0.2500 0.2500 0.7500  12 Ir 3.14, 4 Sr 3.28
Ir 0.1247 0.1247 0.3753  6 Ir 2.67-2.68

***

# 7
A plane-wave DFT calculation with GGA-PBE was carried out for SrZr2Ir2 after structural relaxation.

Properties
Magnetic moment in Bohr magnetons per cell: 0.0
Formation energy in eV per atom: -0.43
Offset from the most stable computed form in eV/f.u.: 1.15

Unit cell a=8.1924 b=8.1924 c=3.1905 alpha=90.00 beta=90.00 gamma=90.00
With the nearest neighbours (Å) after each atom.
Space group P4/mbm (No. 127)
One atom of each set of equivalent atoms:
Sr 0.0000 0.0000 0.0000  4 Ir 3.17, 2 Sr 3.19, 8 Zr 3.52
Zr 0.1468 0.3532 0.5000  6 Ir 2.83-2.95
Ir 0.1386 0.6386 0.0000  6 Zr 2.83-2.95

***

# 8
A plane-wave DFT calculation with GGA-PBE was carried out for SrZr2Ir after structural relaxation.

Properties
Magnetic moment in Bohr magnetons per cell: 0.0
Formation energy in eV per atom: -0.16
Offset from the most stable computed form in eV/f.u.: 0.15

Unit cell a=3.3805 b=3.4229 c=8.5736 alpha=90.00 beta=90.00 gamma=90.00
With the nearest neighbours (Å) after each atom.
Space group Pmm2 (No. 25)
One atom of each set of equivalent atoms:
Sr 0.0000 0.0000 0.0000  4 Ir 3.24, 4 Sr 3.38-3.42, 1 Zr 3.50
Zr 0.0000 0.0000 0.4088  4 Ir 2.75
Zr 0.5000 0.5000 0.6478  8 Zr 3.16-3.42, 1 Ir 3.39
Ir 0.5000 0.5000 0.2528  4 Zr 2.75

***

# 9
A plane-wave DFT calculation with GGA-PBE was carried out for SrZr2Ir after structural relaxation.

Properties
Magnetic moment in Bohr magnetons per cell: 0.0
Formation energy in eV per atom: 0.35
Offset from the most stable computed form in eV/f.u.: 2.18

Unit cell a=4.2292 b=4.2292 c=9.9768 alpha=90.00 beta=90.00 gamma=90.00
With the nearest neighbours (Å) after each atom.
Space group I-4m2 (No. 119)
One atom of each set of equivalent atoms:
Sr 0.0000 0.0000 0.0000  8 Zr 2.99-3.27, 4 Ir 3.27
Zr 0.0000 0.0000 0.5000  4 Sr 2.99, 4 Zr 3.27, 4 Ir 3.27
Zr 0.0000 0.5000 0.7500  4 Ir 2.99, 4 Zr 3.27, 4 Sr 3.27
Ir 0.0000 0.5000 0.2500  8 Zr 2.99-3.27, 4 Sr 3.27

***

# 10
A plane-wave DFT calculation with GGA-PBE was carried out for Sr3ZrIr after structural relaxation.

Properties
Magnetic moment in Bohr magnetons per cell: 3.2
Formation energy in eV per atom: 1.57
Offset from the most stable computed form in eV/f.u.: 5.22

Unit cell a=5.7531 b=5.7531 c=5.7531 alpha=90.00 beta=90.00 gamma=90.00
With the nearest neighbours (Å) after each atom.
Space group Pm-3m (No. 221)
One atom of each set of equivalent atoms:
Sr 0.0000 0.0000 0.5000  2 Zr 2.88
Zr 0.0000 0.0000 0.0000  6 Sr 2.88
Ir 0.5000 0.5000 0.5000  12 Sr 4.07

***

# 11
A plane-wave DFT calculation with GGA-PBE was carried out for SrZr2Ir after structural relaxation.

Properties
Magnetic moment in Bohr magnetons per cell: 0.0
Formation energy in eV per atom: 0.33
Offset from the most stable computed form in eV/f.u.: 2.11

Unit cell a=6.0351 b=10.3649 c=3.1365 alpha=90.00 beta=115.15 gamma=90.00
With the nearest neighbours (Å) after each atom.
Space group C2/m (No. 12)
One atom of each set of equivalent atoms:
Sr 0.0000 0.0000 0.0000  4 Ir 3.02-3.30, 4 Zr 3.07, 2 Sr 3.14
Zr 0.2500 0.2500 0.5000  6 Zr 3.02-3.30, 2 Ir 3.07, 2 Sr 3.07
Ir 0.0000 0.5000 0.0000  4 Sr 3.02-3.30, 4 Zr 3.07, 2 Ir 3.14

***

# 12
A plane-wave DFT calculation with GGA-PBE was carried out for SrZr2Ir2 after structural relaxation.

Properties
Magnetic moment in Bohr magnetons per cell: 0.0
Formation energy in eV per atom: -0.66
Offset from the most stable computed form in eV/f.u.: 0.00

Unit cell a=4.5676 b=4.5676 c=11.2409 alpha=90.00 beta=90.00 gamma=90.00
With the nearest neighbours (Å) after each atom.
Space group I4/mmm (No. 139)
One atom of each set of equivalent atoms:
Sr 0.0000 0.0000 0.0000  8 Ir 3.49, 8 Zr 3.62
Zr 0.0000 0.5000 0.2500  4 Ir 2.72
Ir 0.0000 0.0000 0.3821  1 Ir 2.65, 4 Zr 2.72

***

# 13
A plane-wave DFT calculation with GGA-PBE was carried out for SrZrIr2 after structural relaxation.

Properties
Magnetic moment in Bohr magnetons per cell: 0.0
Formation energy in eV per atom: -0.15
Offset from the most stable computed form in eV/f.u.: 1.39

Unit cell a=7.4081 b=3.2196 c=7.5782 alpha=90.00 beta=98.96 gamma=90.00
With the nearest neighbours (Å) after each atom.
Space group C2/m (No. 12)
One atom of each set of equivalent atoms:
Sr 0.0000 0.0000 0.0000  6 Ir 3.06-3.14, 2 Sr 3.22
Zr 0.0000 0.5000 0.5000  6 Ir 2.66-2.71
Ir 0.2406 0.0000 0.7070  3 Zr 2.66-2.71

***

# 14
A plane-wave DFT calculation with GGA-PBE was carried out for SrZr2Ir after structural relaxation.

Properties
Magnetic moment in Bohr magnetons per cell: 0.0
Formation energy in eV per atom: -0.20
Offset from the most stable computed form in eV/f.u.: 0.00

Unit cell a=4.3618 b=4.3618 c=20.5391 alpha=90.00 beta=90.00 gamma=120.00
With the nearest neighbours (Å) after each atom.
Space group R3m (No. 160, hexagonal axes)
One atom of each set of equivalent atoms:
Sr 0.0000 0.0000 0.0000  6 Zr 3.44-3.59, 1 Ir 3.56
Zr 0.0000 0.0000 0.2089  3 Ir 2.71
Zr 0.0000 0.0000 0.4472  3 Ir 2.69
Ir 0.0000 0.0000 0.8266  6 Zr 2.69-2.71

***

# 15
A plane-wave DFT calculation with GGA-PBE was carried out for SrZrIr2 after structural relaxation.

Properties
Magnetic moment in Bohr magnetons per cell: 0.0
Formation energy in eV per atom: -0.11
Offset from the most stable computed form in eV/f.u.: 1.53

Unit cell a=2.9628 b=4.9416 c=11.2826 alpha=90.00 beta=90.00 gamma=90.00
With the nearest neighbours (Å) after each atom.
Space group Imm2 (No. 44)
One atom of each set of equivalent atoms:
Sr 0.0000 0.0000 0.0000  4 Ir 2.91, 2 Sr 2.96
Zr 0.0000 0.5000 0.1970  2 Zr 2.96, 6 Ir 3.00
Ir 0.0000 0.0000 0.4657  2 Ir 2.64, 4 Sr 2.91
Ir 0.0000 0.5000 0.7723  2 Ir 2.64

***

# 16
A plane-wave DFT calculation with GGA-PBE was carried out for SrZr2Ir after structural relaxation.

Properties
Magnetic moment in Bohr magnetons per cell: 1.5
Formation energy in eV per atom: -0.06
Offset from the most stable computed form in eV/f.u.: 0.56

Unit cell a=4.8277 b=4.8447 c=8.8409 alpha=90.00 beta=90.00 gamma=90.00
With the nearest neighbours (Å) after each atom.
Space group Cmmm (No. 65)
One atom of each set of equivalent atoms:
Sr 0.0000 0.0000 0.0000  4 Sr 3.42, 8 Zr 3.80-3.81
Zr 0.0000 0.5000 0.3327  4 Ir 2.83-2.84, 1 Zr 2.96
Ir 0.0000 0.0000 0.5000  8 Zr 2.83-2.84

***

# 17
A plane-wave DFT calculation with GGA-PBE was carried out for SrZr2Ir after structural relaxation.

Properties
Magnetic moment in Bohr magnetons per cell: 0.0
Formation energy in eV per atom: -0.11
Offset from the most stable computed form in eV/f.u.: 0.34

Unit cell a=4.3165 b=4.3165 c=21.5065 alpha=90.00 beta=90.00 gamma=120.00
With the nearest neighbours (Å) after each atom.
Space group R-3m (No. 166, hexagonal axes)
One atom of each set of equivalent atoms:
Sr 0.0000 0.0000 0.0000  6 Zr 3.60
Zr 0.0000 0.0000 0.2127  3 Ir 2.68
Ir 0.0000 0.0000 0.5000  6 Zr 2.68

***

# 18
A plane-wave DFT calculation with GGA-PBE was carried out for SrZr2Ir after structural relaxation.

Properties
Magnetic moment in Bohr magnetons per cell: 0.0
Formation energy in eV per atom: 0.04
Offset from the most stable computed form in eV/f.u.: 0.96

Unit cell a=8.2101 b=8.2101 c=6.2761 alpha=90.00 beta=90.00 gamma=90.00
With the nearest neighbours (Å) after each atom.
Space group I-42d (No. 122)
One atom of each set of equivalent atoms:
Sr 0.0000 0.0000 0.0000  2 Ir 3.14, 8 Zr 3.44-3.45
Zr 0.1759 0.2500 0.6250  2 Ir 2.63
Ir 0.0000 0.0000 0.5000  4 Zr 2.63

***

# 19
A plane-wave DFT calculation with GGA-PBE was carried out for Ta2Ir3 after structural relaxation.

Properties
Magnetic moment in Bohr magnetons per cell: 0.0
Formation energy in eV per atom: -0.54
Offset from the most stable computed form in eV/f.u.: 0.00

Unit cell a=9.5250 b=13.4466 c=5.0015 alpha=90.00 beta=90.00 gamma=90.00
With the nearest neighbours (Å) after each atom.
Space group Fdd2 (No. 43)
One atom of each set of equivalent atoms:
Ta 0.0387 0.3027 0.0000  7 Ir 2.66-2.87, 2 Ta 2.97
Ir 0.0000 0.0000 0.4330  4 Ta 2.66-2.70, 4 Ir 2.75-2.95
Ir 0.0543 0.3997 0.4651  6 Ta 2.67-2.98, 5 Ir 2.75-2.95

***

# 20
A plane-wave DFT calculation with GGA-PBE was carried out for TaIr after structural relaxation.

Properties
Magnetic moment in Bohr magnetons per cell: 0.0
Formation energy in eV per atom: -0.59

Unit cell a=13.8675 b=2.8739 c=4.8598 alpha=90.00 beta=90.00 gamma=90.00
With the nearest neighbours (Å) after each atom.
Space group Pmma (No. 51)
One atom of each set of equivalent atoms:
Ta 0.0858 0.0000 0.1765  8 Ir 2.77-2.83, 4 Ta 2.87-2.93
Ta 0.2500 0.0000 0.5539  8 Ir 2.78-2.87, 4 Ta 2.87-2.92
Ir 0.0820 0.5000 0.6777  8 Ta 2.80-2.83, 4 Ir 2.86-2.93
Ir 0.2500 0.5000 0.0439  8 Ta 2.77-2.87, 4 Ir 2.87-2.93

***

| no. | volume (Å³ per cell) |
| --- | --- |
| 1 | 80.0 |
| 2 | 340.7 |
| 3 | 89.3 |
| 4 | 162.3 |
| 5 | 91.9 |
| 6 | 434.8 |
| 7 | 214.1 |
| 8 | 99.2 |
| 9 | 178.4 |
| 10 | 190.4 |
| 11 | 177.6 |
| 12 | 234.5 |
| 13 | 178.5 |
| 14 | 338.5 |
| 15 | 165.2 |
| 16 | 206.8 |
| 17 | 347.0 |
| 18 | 423.0 |
| 19 | 640.6 |
| 20 | 193.7 |